[1]
SrHgSb2W: optimized geometry, GGA-PBE.

Unit cell a=5.228 b=6.105 c=5.228 alpha=90.00 beta=90.00 gamma=90.00
Sites, in units of the cell vectors:
Sb 0.000 0.000 0.500
Sb 0.500 0.000 0.000
Hg 0.500 0.500 0.500
W 0.000 0.000 0.000
Sr 0.000 0.500 0.000

The spin magnetization is 0.000 μB per atom. Its space group is P4/mmm. The calculation puts the energy relative to the elements, uncorrected at 1.466 eV/f.u.

[2]
Sr2Al7Hg: optimized geometry, GGA-PBE.

Unit cell a=4.485 b=4.485 c=11.329 alpha=90.00 beta=90.00 gamma=90.00
Sites, in units of the cell vectors:
Sr 0.500 0.000 0.748
Sr 0.000 0.500 0.252
Al 0.000 0.500 0.863
Al 0.500 0.000 0.367
Al 0.500 0.000 0.137
Al 0.000 0.500 0.633
Al 0.000 0.000 0.500
Al 0.000 0.000 0.000
Al 0.500 0.500 0.500
Hg 0.500 0.500 0.000

The spin magnetization is 0.000 μB per atom. Its formation energy is -0.238 eV/atom. Its space group is P-4m2.

[3]
PaMn6H12: optimized geometry, GGA-PBE.

Unit cell a=5.341 b=5.341 c=5.341 alpha=105.71 beta=105.71 gamma=105.71
Each line ends with the local moment (μB).
Sites, in units of the cell vectors:
Pa 0.000 0.000 0.000  -0.92
Mn 0.655 0.235 0.235  1.94
Mn 0.235 0.235 0.655  1.94
Mn 0.235 0.655 0.235  1.94
Mn 0.765 0.765 0.345  1.94
Mn 0.345 0.765 0.765  1.94
Mn 0.765 0.345 0.765  1.94
H 0.864 0.136 0.500  -0.02
H 0.804 0.544 0.544  -0.02
H 0.544 0.544 0.804  -0.02
H 0.456 0.196 0.456  -0.02
H 0.456 0.456 0.196  -0.02
H 0.196 0.456 0.456  -0.02
H 0.136 0.500 0.864  -0.02
H 0.500 0.864 0.136  -0.02
H 0.136 0.864 0.500  -0.02
H 0.864 0.500 0.136  -0.02
H 0.500 0.136 0.864  -0.02
H 0.544 0.804 0.544  -0.02

The value obtained for the total energy is -5.43 eV per atom. The spin magnetization is 0.554 μB per atom. Its space group is R-3m.

[4]
Ce3Pa3MoN8: optimized geometry, GGA-PBE.

Unit cell a=6.853 b=6.853 c=6.930 alpha=119.63 beta=90.00 gamma=120.00
Sites, in units of the cell vectors:
Ce 0.000 0.000 0.000
Ce 0.000 0.500 0.000
Ce 0.500 0.500 0.000
Pa 0.500 0.000 0.500
Pa 0.500 0.500 0.500
Pa 0.000 0.500 0.500
Mo 0.000 0.000 0.500
N 0.256 0.513 0.269
N 0.744 0.487 0.731
N 0.771 0.541 0.285
N 0.229 0.459 0.715
N 0.771 0.015 0.285
N 0.229 0.985 0.715
N 0.244 0.015 0.285
N 0.756 0.985 0.715

The spin magnetization is 0.000 μB per atom. Its space group is R-3m. The calculation puts the energy relative to the elements, uncorrected at -20.084 eV/f.u.

[5]
HoEr8Sb2: optimized geometry, GGA-PBE.

Unit cell a=6.062 b=8.576 c=8.576 alpha=60.94 beta=108.04 gamma=108.04
Sites, in units of the cell vectors:
Ho 0.000 0.000 0.000
Er 0.277 0.429 0.808
Er 0.723 0.192 0.571
Er 0.198 0.824 0.824
Er 0.802 0.176 0.176
Er 0.277 0.808 0.429
Er 0.723 0.571 0.192
Er 0.766 0.591 0.591
Er 0.234 0.409 0.409
Sb 0.654 0.781 0.781
Sb 0.346 0.219 0.219

The spin magnetization is 0.000 μB per atom. Its space group is C2/m. The calculation puts the energy relative to the elements, uncorrected at -0.751 eV/f.u.

[6]
Sn3AsPd6: optimized geometry, GGA-PBE.

Unit cell a=6.698 b=7.981 c=7.981 alpha=114.98 beta=90.00 gamma=90.00
Sites, in units of the cell vectors:
Sn 0.525 0.906 0.710
Sn 0.025 0.710 0.906
Sn 0.334 0.413 0.587
Sn 0.834 0.587 0.413
Sn 0.025 0.094 0.290
Sn 0.525 0.290 0.094
As 0.968 0.196 0.804
As 0.468 0.804 0.196
Pd 0.173 0.729 0.605
Pd 0.673 0.605 0.729
Pd 0.239 0.424 0.926
Pd 0.739 0.926 0.424
Pd 0.190 0.048 0.952
Pd 0.621 0.253 0.747
Pd 0.121 0.747 0.253
Pd 0.690 0.952 0.048
Pd 0.239 0.074 0.576
Pd 0.739 0.576 0.074
Pd 0.173 0.395 0.271
Pd 0.673 0.271 0.395

The spin magnetization is 0.000 μB per atom. Its formation energy is -0.366 eV/atom. Its space group is Cmc2_1.

[7]
NaMg2Co2: optimized geometry, GGA-PBE.

Unit cell a=3.263 b=3.263 c=10.080 alpha=80.68 beta=80.68 gamma=90.00
Each line ends with the local moment (μB).
Sites, in units of the cell vectors:
Na 0.000 0.000 0.000  0.00
Mg 0.361 0.361 0.279  -0.01
Mg 0.639 0.639 0.721  -0.01
Co 0.750 0.250 0.500  1.55
Co 0.250 0.750 0.500  1.55

The spin magnetization is 0.589 μB per atom. Its formation energy is 0.269 eV/atom. Its space group is I4/mmm. The relative energy among the computed polymorphs is 0 kJ/mol of formula units.

[8]
Nd2SmIn4: optimized geometry, GGA-PBE.

Unit cell a=5.354 b=5.354 c=8.413 alpha=108.55 beta=108.55 gamma=90.00
Sites, in units of the cell vectors:
Nd 0.746 0.746 0.493
Nd 0.254 0.254 0.507
Sm 0.000 0.000 0.000
In 0.387 0.887 0.775
In 0.887 0.387 0.775
In 0.613 0.113 0.225
In 0.113 0.613 0.225

The spin magnetization is 0.000 μB per atom. Its formation energy is -0.317 eV/atom. Its space group is I4/mmm. The relative energy among the computed polymorphs is 76 kJ/mol of formula units.

[9]
HoEr2Pd3: optimized geometry, GGA-PBE.

Unit cell a=3.416 b=4.969 c=14.907 alpha=90.00 beta=90.00 gamma=90.00
Sites, in units of the cell vectors:
Ho 0.000 0.500 0.500
Ho 0.000 0.000 0.000
Er 0.000 0.000 0.667
Er 0.000 0.000 0.333
Er 0.000 0.500 0.167
Er 0.000 0.500 0.833
Pd 0.500 0.500 0.668
Pd 0.500 0.000 0.500
Pd 0.500 0.500 0.332
Pd 0.500 0.000 0.168
Pd 0.500 0.500 0.000
Pd 0.500 0.000 0.832

The spin magnetization is 0.000 μB per atom. Its formation energy is -0.919 eV/atom. Its space group is Cmmm. The relative energy among the computed polymorphs is 0 kJ/mol of formula units.

Q: Look up the spin magnetization of the ninth one.
A: 0.000 μB per atom